## Y2Cd2Sn (PBE)

Data for an optimized crystal structure of Y2Cd2Sn.

Cell and atoms, written as extended XYZ:
```
10
Lattice="7.508 0.000 0.000 0.000 7.508 0.000 0.000 0.000 4.657" Properties=species:S:1:pos:R:3 pbc="T T T"
Y 1.274 5.028 2.329
Y 2.480 1.274 2.329
Y 5.028 6.234 2.329
Y 6.234 2.480 2.329
Sn 3.754 3.754 0.000
Sn 0.000 0.000 0.000
Cd 4.733 0.979 0.000
Cd 6.529 4.733 0.000
Cd 0.979 2.775 0.000
Cd 2.775 6.529 0.000
```

## Properties
Final energy = -41.48 eV for the cell shown
SG = No. 127
Formation enthalpy at 0 K = -9.13 kcal/mol of atoms